Below is TbCe2Nd8 after structural relaxation, with properties calculated at the PBE-GGA level.

a = 5.6438 Å, b = 8.3766 Å, c = 16.0941 Å
α = 90.00°, β = 90.00°, γ = 90.00°
Space group Immm (No. 71)
One atom of each set of equivalent atoms:
Tb 0.0000 0.0000 0.0000 [2 per cell]
Ce 0.0000 0.0000 0.2994 [4 per cell]
Nd 0.0000 0.2032 0.5000 [4 per cell]
Nd 0.0000 0.2942 0.1396 [8 per cell]
Nd 0.0000 0.5000 0.3426 [4 per cell]

* calculated formation energy: 0.155 eV/atom
* calculated density: 6.95 Mg/m³